## w
Sm4Tl5Hg | PBE | optimized geometry

Unit cell a=9.281 b=9.281 c=6.608 alpha=109.26 beta=109.26 gamma=32.10
Element x y z (fractional)
Sm 0.085 0.085 0.337
Sm 0.303 0.303 0.885
Sm 0.697 0.697 0.115
Sm 0.915 0.915 0.663
Tl 0.107 0.107 0.848
Tl 0.296 0.296 0.387
Tl 0.500 0.500 0.500
Tl 0.704 0.704 0.613
Tl 0.893 0.893 0.152
Hg 0.500 0.500 0.000

Output
density	10.7	g/cm3

---

## x
Sm4Tl5Hg | PBE | optimized geometry

Unit cell a=8.116 b=10.372 c=7.440 alpha=90.00 beta=90.00 gamma=90.00
Element x y z (fractional)
Sm 0.008 0.250 0.208
Sm 0.250 0.557 0.460
Sm 0.250 0.943 0.460
Sm 0.492 0.250 0.208
Sm 0.508 0.750 0.792
Sm 0.750 0.057 0.540
Sm 0.750 0.443 0.540
Sm 0.992 0.750 0.792
Tl 0.062 0.062 0.818
Tl 0.062 0.438 0.818
Tl 0.250 0.750 0.101
Tl 0.438 0.062 0.818
Tl 0.438 0.438 0.818
Tl 0.562 0.562 0.182
Tl 0.562 0.938 0.182
Tl 0.750 0.250 0.899
Tl 0.938 0.562 0.182
Tl 0.938 0.938 0.182
Hg 0.250 0.250 0.533
Hg 0.750 0.750 0.467

Output
density	9.7	g/cm3

---

Result of the stability comparison: w is the most stable of them.

---

## w
Sm6Tl3Hg | PBE | optimized geometry

Unit cell a=11.734 b=3.841 c=14.755 alpha=90.00 beta=109.64 gamma=90.00
Element x y z (fractional)
Sm 0.005 0.250 0.166
Sm 0.095 0.750 0.404
Sm 0.242 0.250 0.835
Sm 0.324 0.250 0.258
Sm 0.359 0.250 0.614
Sm 0.397 0.750 0.050
Sm 0.603 0.250 0.950
Sm 0.641 0.750 0.386
Sm 0.676 0.750 0.742
Sm 0.758 0.750 0.165
Sm 0.905 0.250 0.596
Sm 0.995 0.750 0.834
Tl 0.137 0.750 0.638
Tl 0.157 0.250 0.023
Tl 0.384 0.750 0.444
Tl 0.616 0.250 0.556
Tl 0.843 0.750 0.977
Tl 0.863 0.250 0.362
Hg 0.434 0.750 0.798
Hg 0.566 0.250 0.202

Output
density	9.1	g/cm3

---

## x
Sm6Tl3Hg | PBE | optimized geometry

Unit cell a=9.585 b=5.409 c=11.884 alpha=90.00 beta=107.24 gamma=90.00
Element x y z (fractional)
Sm 0.034 0.250 0.408
Sm 0.161 0.750 0.179
Sm 0.259 0.250 0.000
Sm 0.350 0.750 0.814
Sm 0.371 0.250 0.343
Sm 0.404 0.250 0.620
Sm 0.596 0.750 0.380
Sm 0.629 0.750 0.657
Sm 0.650 0.250 0.186
Sm 0.741 0.750 0.000
Sm 0.839 0.250 0.821
Sm 0.966 0.750 0.592
Tl 0.031 0.750 0.886
Tl 0.127 0.250 0.715
Tl 0.273 0.750 0.473
Tl 0.727 0.250 0.527
Tl 0.873 0.750 0.285
Tl 0.969 0.250 0.114
Hg 0.452 0.750 0.107
Hg 0.548 0.250 0.893

Output
density	9.7	g/cm3

---

Result of the stability comparison: x is the most stable of them.

---

## w
Sm2Tl2Hg | PBE | optimized geometry

Unit cell a=6.297 b=6.297 c=11.238 alpha=113.50 beta=113.50 gamma=45.20
Element x y z (fractional)
Sm 0.019 0.019 0.328
Sm 0.177 0.177 0.094
Sm 0.823 0.823 0.906
Sm 0.981 0.981 0.672
Tl 0.354 0.354 0.454
Tl 0.460 0.460 0.115
Tl 0.540 0.540 0.885
Tl 0.646 0.646 0.546
Hg 0.267 0.267 0.697
Hg 0.733 0.733 0.303

Output
density	10.6	g/cm3

---

## x
Sm2Tl2Hg | PBE | optimized geometry

Unit cell a=11.158 b=11.158 c=3.513 alpha=90.00 beta=90.00 gamma=160.82
Element x y z (fractional)
Sm 0.094 0.906 0.000
Sm 0.906 0.094 0.000
Tl 0.307 0.693 0.500
Tl 0.693 0.307 0.500
Hg 0.500 0.500 0.500

Output
density	10.5	g/cm3

---

Result of the stability comparison: w is the most stable of them.

---

## w
Sm2Tl2Hg3 | PBE | optimized geometry

Unit cell a=8.084 b=8.084 c=8.084 alpha=109.47 beta=109.47 gamma=109.47
Element x y z (fractional)
Sm 0.000 0.042 0.500
Sm 0.042 0.500 0.000
Sm 0.458 0.458 0.458
Sm 0.500 0.000 0.042
Tl 0.000 0.649 0.500
Tl 0.500 0.000 0.649
Tl 0.649 0.500 0.000
Tl 0.851 0.851 0.851
Hg 0.225 0.975 0.250
Hg 0.250 0.225 0.975
Hg 0.275 0.525 0.750
Hg 0.525 0.750 0.275
Hg 0.750 0.275 0.525
Hg 0.975 0.250 0.225

Output
density	10.7	g/cm3

---

## x
Sm2Tl2Hg3 | PBE | optimized geometry

Unit cell a=5.143 b=5.148 c=8.583 alpha=72.60 beta=72.62 gamma=60.21
Element x y z (fractional)
Sm 0.081 0.080 0.252
Sm 0.919 0.920 0.748
Tl 0.352 0.352 0.442
Tl 0.648 0.648 0.558
Hg 0.213 0.216 0.863
Hg 0.500 0.500 0.000
Hg 0.787 0.784 0.137

Output
density	11.8	g/cm3

---

Result of the stability comparison: x is the most stable of them.